## MgMnFe2 (PBEsol)

Data for a relaxed MgMnFe2 crystal.

Lattice parameters (Å, degrees): 2.8752 2.8752 6.3552 90.00 90.00 90.00
Closest atoms and distances in Å follow each position.
Element x y z (fractional)
Mg 0.0000 0.0000 0.0000  5 Fe 2.71-3.02, 4 Mn 2.82, 4 Mg 2.88
Mn 0.5000 0.5000 0.3080  5 Fe 2.45-2.61
Fe 0.0000 0.0000 0.5244  4 Fe 2.38, 4 Mn 2.45
Fe 0.5000 0.5000 0.7189  4 Fe 2.38, 1 Mn 2.61

Symmetry ... P4mm (99)
Density of states at the Fermi level ... 3.0 states/eV/f.u.
Formation energy from the elements ... 0.280 eV/atom

***

## MgMn2Fe (PBEsol)

Data for a relaxed MgMn2Fe crystal.

Lattice parameters (Å, degrees): 2.5151 4.1390 4.8230 90.00 98.65 90.00
Closest atoms and distances in Å follow each position.
Element x y z (fractional)
Mg 0.0000 0.0000 0.0000  2 Mg 2.52, 2 Fe 2.55, 4 Mn 2.63
Mn 0.2759 0.5000 0.7163  4 Mn 2.33-2.52, 2 Fe 2.42
Mn 0.7241 0.5000 0.2837  4 Mn 2.33-2.52, 2 Fe 2.42
Fe 0.5000 0.0000 0.5000  4 Mn 2.42, 2 Fe 2.52, 2 Mg 2.55

Symmetry ... P2/m (10)
Density of states at the Fermi level ... 5.0 states/eV/f.u.
Formation energy from the elements ... 0.417 eV/atom

***

## Mg14MnFeO16 (PBEsol)

Data for a relaxed Mg14MnFeO16 crystal.

Lattice parameters (Å, degrees): 8.4820 8.4820 4.2253 90.00 90.00 90.00
Closest atoms and distances in Å follow each position.
Element x y z (fractional)
Mg 0.0000 0.2492 0.0000  6 O 2.11-2.13
Mg 0.0000 0.5000 0.5000  6 O 2.08-2.11
Mg 0.0000 0.7508 0.0000  6 O 2.11-2.13
Mg 0.2480 0.5000 0.0000  6 O 2.10-2.14
Mg 0.2492 0.0000 0.0000  6 O 2.11-2.13
Mg 0.2490 0.2490 0.5000  6 O 2.11-2.13
Mg 0.2490 0.7510 0.5000  6 O 2.11-2.13
Mg 0.5000 0.0000 0.5000  6 O 2.08-2.11
Mg 0.5000 0.2480 0.0000  6 O 2.10-2.14
Mg 0.5000 0.7520 0.0000  6 O 2.10-2.14
Mg 0.7508 0.0000 0.0000  6 O 2.11-2.13
Mg 0.7510 0.2490 0.5000  6 O 2.11-2.13
Mg 0.7510 0.7510 0.5000  6 O 2.11-2.13
Mg 0.7520 0.5000 0.0000  6 O 2.10-2.14
Mn 0.5000 0.5000 0.5000  6 O 2.11-2.16
Fe 0.0000 0.0000 0.5000  6 O 2.11-2.15
O 0.0000 0.0000 0.0000  2 Fe 2.11, 4 Mg 2.11
O 0.0000 0.2537 0.5000  5 Mg 2.09-2.11, 1 Fe 2.15
O 0.0000 0.5000 0.0000  6 Mg 2.10-2.13
O 0.0000 0.7463 0.5000  5 Mg 2.09-2.11, 1 Fe 2.15
O 0.2449 0.5000 0.5000  5 Mg 2.08-2.13, 1 Mn 2.16
O 0.2500 0.2500 0.0000  6 Mg 2.11-2.12
O 0.2500 0.7500 0.0000  6 Mg 2.11-2.12
O 0.2537 0.0000 0.5000  5 Mg 2.09-2.11, 1 Fe 2.15
O 0.5000 0.0000 0.0000  6 Mg 2.10-2.13
O 0.5000 0.2449 0.5000  5 Mg 2.08-2.13, 1 Mn 2.16
O 0.5000 0.5000 0.0000  2 Mn 2.11, 4 Mg 2.14
O 0.5000 0.7551 0.5000  5 Mg 2.08-2.13, 1 Mn 2.16
O 0.7463 0.0000 0.5000  5 Mg 2.09-2.11, 1 Fe 2.15
O 0.7500 0.2500 0.0000  6 Mg 2.11-2.12
O 0.7500 0.7500 0.0000  6 Mg 2.11-2.12
O 0.7551 0.5000 0.5000  5 Mg 2.08-2.13, 1 Mn 2.16

ΔE_f (raw) ... -80.3 eV/f.u.
Symmetry ... P4/mmm (123)
Density of states at the Fermi level ... 5.8 states/eV/f.u.

***

## Mg14MnFeO16 (PBEsol)

Data for a relaxed Mg14MnFeO16 crystal.

Lattice parameters (Å, degrees): 4.2165 8.4514 8.5104 90.00 90.00 90.00
Closest atoms and distances in Å follow each position.
Element x y z (fractional)
Mg 0.0000 0.0000 0.0000  6 O 2.08-2.11
Mg 0.0000 0.2490 0.2492  6 O 2.10-2.13
Mg 0.0000 0.2490 0.7508  6 O 2.10-2.13
Mg 0.0000 0.5000 0.0000  6 O 2.07-2.11
Mg 0.0000 0.7510 0.2492  6 O 2.10-2.13
Mg 0.0000 0.7510 0.7508  6 O 2.10-2.13
Mg 0.5000 0.0000 0.2501  6 O 2.11-2.13
Mg 0.5000 0.0000 0.7499  6 O 2.11-2.13
Mg 0.5000 0.2479 0.5000  6 O 2.09-2.13
Mg 0.5000 0.2496 0.0000  6 O 2.11-2.14
Mg 0.5000 0.5000 0.2481  6 O 2.11-2.14
Mg 0.5000 0.5000 0.7519  6 O 2.11-2.14
Mg 0.5000 0.7504 0.0000  6 O 2.11-2.14
Mg 0.5000 0.7521 0.5000  6 O 2.09-2.13
Mn 0.0000 0.5000 0.5000  6 O 2.11-2.18
Fe 0.0000 0.0000 0.5000  6 O 2.11-2.18
O 0.0000 0.0000 0.2440  5 Mg 2.08-2.11, 1 Fe 2.18
O 0.0000 0.0000 0.7560  5 Mg 2.08-2.11, 1 Fe 2.18
O 0.0000 0.2499 0.0000  6 Mg 2.11-2.12
O 0.0000 0.2508 0.5000  1 Mn 2.11, 4 Mg 2.11-2.13, 1 Fe 2.12
O 0.0000 0.5000 0.2433  5 Mg 2.07-2.12, 1 Mn 2.18
O 0.0000 0.5000 0.7567  5 Mg 2.07-2.12, 1 Mn 2.18
O 0.0000 0.7492 0.5000  1 Mn 2.11, 4 Mg 2.11-2.13, 1 Fe 2.12
O 0.0000 0.7501 0.0000  6 Mg 2.11-2.12
O 0.5000 0.0000 0.0000  6 Mg 2.11-2.13
O 0.5000 0.0000 0.5000  4 Mg 2.09-2.13, 2 Fe 2.11
O 0.5000 0.2501 0.2513  6 Mg 2.11-2.14
O 0.5000 0.2501 0.7487  6 Mg 2.11-2.14
O 0.5000 0.5000 0.0000  6 Mg 2.11-2.12
O 0.5000 0.5000 0.5000  2 Mn 2.11, 4 Mg 2.13-2.14
O 0.5000 0.7499 0.2513  6 Mg 2.11-2.14
O 0.5000 0.7499 0.7487  6 Mg 2.11-2.14

ΔE_f (raw) ... -80.3 eV/f.u.
Symmetry ... Pmmm (47)
Density of states at the Fermi level ... 5.9 states/eV/f.u.

***

## Mg2FeMo (PBEsol)

Data for a relaxed Mg2FeMo crystal.

Lattice parameters (Å, degrees): 4.3434 4.3434 4.3434 60.00 60.00 60.00
Closest atoms and distances in Å follow each position.
Element x y z (fractional)
Mg 0.0000 0.0000 0.0000  4 Mo 2.66, 4 Mg 2.66
Mg 0.2500 0.2500 0.2500  4 Fe 2.66, 4 Mg 2.66
Fe 0.5000 0.5000 0.5000  4 Mo 2.66, 4 Mg 2.66
Mo 0.7500 0.7500 0.7500  4 Fe 2.66, 4 Mg 2.66

Symmetry ... F-43m (216)
Density of states at the Fermi level ... 0.3 states/eV/f.u.
Formation energy from the elements ... 0.351 eV/atom

***

## Mg2FeMo (PBEsol)

Data for a relaxed Mg2FeMo crystal.

Lattice parameters (Å, degrees): 2.9554 2.9554 7.3346 90.00 90.00 90.00
Closest atoms and distances in Å follow each position.
Element x y z (fractional)
Mg 0.0000 0.0000 0.0000  4 Fe 2.71, 4 Mg 2.96, 1 Mo 2.99
Mg 0.5000 0.5000 0.3213  4 Mo 2.89, 8 Mg 2.96-3.15
Fe 0.5000 0.5000 0.7642  4 Mo 2.44, 4 Mg 2.71
Mo 0.0000 0.0000 0.5930  4 Fe 2.44

Symmetry ... P4mm (99)
Density of states at the Fermi level ... 1.4 states/eV/f.u.
Formation energy from the elements ... 0.155 eV/atom

***

## Sr10Mg4FeMo5O30 (PBEsol)

Data for a relaxed Sr10Mg4FeMo5O30 crystal.

Lattice parameters (Å, degrees): 9.5696 9.5696 9.5696 99.75 99.75 131.39
Closest atoms and distances in Å follow each position.
Element x y z (fractional)
Sr 0.0497 0.3507 0.9011  8 O 2.59-2.79
Sr 0.1486 0.0497 0.6990  8 O 2.59-2.79
Sr 0.2500 0.7500 0.5000  8 O 2.59-2.78
Sr 0.3507 0.4496 0.3010  8 O 2.59-2.79
Sr 0.4496 0.1486 0.0989  8 O 2.59-2.79
Sr 0.5504 0.8514 0.9011  8 O 2.59-2.79
Sr 0.6493 0.5504 0.6990  8 O 2.59-2.79
Sr 0.7500 0.2500 0.5000  8 O 2.59-2.78
Sr 0.8514 0.9503 0.3010  8 O 2.59-2.79
Sr 0.9503 0.6493 0.0989  8 O 2.59-2.79
Mg 0.0984 0.6998 0.7982  6 O 2.02-2.06
Mg 0.3002 0.0984 0.3985  6 O 2.02-2.06
Mg 0.6998 0.9016 0.6015  6 O 2.02-2.06
Mg 0.9016 0.3002 0.2018  6 O 2.02-2.06
Fe 0.5000 0.5000 0.0000  6 O 1.92-1.98
Mo 0.0000 0.0000 0.0000  6 O 1.91-1.96
Mo 0.2040 0.4023 0.6063  6 O 1.91-1.94
Mo 0.4023 0.7960 0.1984  6 O 1.91-1.94
Mo 0.5977 0.2040 0.8016  6 O 1.91-1.94
Mo 0.7960 0.5977 0.3937  6 O 1.91-1.94
O 0.0268 0.8479 0.8747  1 Mo 1.91, 1 Mg 2.03
O 0.0394 0.8406 0.3949  1 Mo 1.91, 1 Mg 2.03
O 0.0519 0.3735 0.4255  1 Mo 1.91, 1 Mg 2.06
O 0.1521 0.0268 0.1789  1 Mo 1.91, 1 Mg 2.03
O 0.1594 0.5543 0.1988  1 Mo 1.91, 1 Mg 2.03
O 0.1722 0.5536 0.7258  1 Mo 1.91, 1 Mg 2.02
O 0.2324 0.2504 0.4828  1 Mo 1.91, 1 Mg 2.05
O 0.2487 0.2487 0.0000  1 Mo 1.96, 1 Fe 1.98
O 0.2504 0.7676 0.0180  1 Mo 1.91, 1 Mg 2.05
O 0.3555 0.9606 0.8012  1 Mo 1.91, 1 Mg 2.03
O 0.3578 0.4362 0.7940  1 Fe 1.92, 1 Mo 1.94
O 0.3735 0.9481 0.3216  1 Mo 1.91, 1 Mg 2.06
O 0.4362 0.6422 0.0784  1 Fe 1.92, 1 Mo 1.94
O 0.4464 0.1722 0.6186  1 Mo 1.91, 1 Mg 2.02
O 0.4457 0.6445 0.6051  1 Mo 1.91, 1 Mg 2.03
O 0.5543 0.3555 0.3949  1 Mo 1.91, 1 Mg 2.03
O 0.5536 0.8278 0.3814  1 Mo 1.91, 1 Mg 2.02
O 0.5638 0.3578 0.9216  1 Fe 1.92, 1 Mo 1.94
O 0.6265 0.0519 0.6784  1 Mo 1.91, 1 Mg 2.06
O 0.6422 0.5638 0.2060  1 Fe 1.92, 1 Mo 1.94
O 0.6445 0.0394 0.1988  1 Mo 1.91, 1 Mg 2.03
O 0.7496 0.2324 0.9820  1 Mo 1.91, 1 Mg 2.05
O 0.7513 0.7513 0.0000  1 Mo 1.96, 1 Fe 1.98
O 0.7676 0.7496 0.5172  1 Mo 1.91, 1 Mg 2.05
O 0.8278 0.4464 0.2742  1 Mo 1.91, 1 Mg 2.02
O 0.8406 0.4457 0.8012  1 Mo 1.91, 1 Mg 2.03
O 0.8479 0.9732 0.8211  1 Mo 1.91, 1 Mg 2.03
O 0.9481 0.6265 0.5745  1 Mo 1.91, 1 Mg 2.06
O 0.9606 0.1594 0.6051  1 Mo 1.91, 1 Mg 2.03
O 0.9732 0.1521 0.1253  1 Mo 1.91, 1 Mg 2.03

ΔE_f (raw) ... -131.6 eV/f.u.
Symmetry ... I4/m (87)

***

## MgFe2MoPt (PBEsol)

Data for a relaxed MgFe2MoPt crystal.

Lattice parameters (Å, degrees): 4.3448 4.3448 4.8864 90.00 90.00 90.00
Closest atoms and distances in Å follow each position.
Element x y z (fractional)
Mg 0.0000 0.0000 0.0000  4 Pt 3.07, 8 Fe 3.27
Fe 0.0000 0.5000 0.5000  2 Mo 2.17
Fe 0.5000 0.0000 0.5000  2 Mo 2.17
Mo 0.5000 0.5000 0.5000  4 Fe 2.17
Pt 0.5000 0.5000 0.0000  2 Mo 2.44

Symmetry ... P4/mmm (123)
Density of states at the Fermi level ... 6.5 states/eV/f.u.
Formation energy from the elements ... 1.079 eV/atom

***

## MgFeN2 (PBEsol)

Data for a relaxed MgFeN2 crystal.

Lattice parameters (Å, degrees): 5.3818 5.3818 5.3818 130.99 130.99 71.84
Closest atoms and distances in Å follow each position.
Element x y z (fractional)
Mg 0.0000 0.0000 0.0000  4 N 2.08
Mg 0.7500 0.2500 0.5000  4 N 2.08
Fe 0.2500 0.7500 0.5000  4 N 1.78
Fe 0.5000 0.5000 0.0000  4 N 1.78
N 0.1838 0.6250 0.0588  2 Fe 1.78
N 0.3750 0.4338 0.5588  2 Fe 1.78
N 0.5662 0.1250 0.9412  2 Fe 1.78
N 0.8750 0.8162 0.4412  2 Fe 1.78

ΔE_f (raw) ... -1.6 eV/f.u.
Symmetry ... I-42d (122)
Density of states at the Fermi level ... 2.3 states/eV/f.u.

***

Repeat the ninth record exactly.
## MgFeN2 (PBEsol)

Data for a relaxed MgFeN2 crystal.

Lattice parameters (Å, degrees): 5.3818 5.3818 5.3818 130.99 130.99 71.84
Closest atoms and distances in Å follow each position.
Element x y z (fractional)
Mg 0.0000 0.0000 0.0000  4 N 2.08
Mg 0.7500 0.2500 0.5000  4 N 2.08
Fe 0.2500 0.7500 0.5000  4 N 1.78
Fe 0.5000 0.5000 0.0000  4 N 1.78
N 0.1838 0.6250 0.0588  2 Fe 1.78
N 0.3750 0.4338 0.5588  2 Fe 1.78
N 0.5662 0.1250 0.9412  2 Fe 1.78
N 0.8750 0.8162 0.4412  2 Fe 1.78

ΔE_f (raw) ... -1.6 eV/f.u.
Symmetry ... I-42d (122)
Density of states at the Fermi level ... 2.3 states/eV/f.u.